(1)
# Er3GaFe8 | Alexandria via LeMat-Bulk | PBE | relaxed
# - volume (Å³/f.u.) = 178
# - calculated density (kg/m³) = 9482
# - crystal system = trigonal
# - energy of formation from the pure elements (eV/f.u.) = -1.5
# - DOS at the Fermi energy (states/eV/cell) = 36.8
data_Er3GaFe8
_chemical_formula_sum 'Er9 Ga3 Fe24'
_space_group_name_H-M_alt 'R 3 m'
_space_group_IT_number 160
_space_group_name_Hall 'R 3 -2"'
_cell_length_a 5.0186
_cell_length_b 5.0186
_cell_length_c 24.5258
_cell_angle_alpha 90.00
_cell_angle_beta 90.00
_cell_angle_gamma 120.00
loop_
_atom_site_label
_atom_site_fract_x
_atom_site_fract_y
_atom_site_fract_z
Er1 0.0000 0.0000 0.0000
Er2 0.0000 0.0000 0.1275
Er3 0.0000 0.0000 0.5073
Ga1 0.0000 0.0000 0.6303
Fe1 0.0000 0.0000 0.3155
Fe2 0.0000 0.0000 0.8149
Fe3 0.9999 0.4999 0.5672
Fe4 0.1678 0.3356 0.3968

=====

(2)
# La3Pr4Tm4 | Alexandria via LeMat-Bulk | PBE | relaxed
# - ΔE to the lowest computed polymorph (meV/atom) = 146
# - volume (Å³/f.u.) = 385
# - calculated density (kg/m³) = 7135
# - crystal system = orthorhombic
# - energy of formation from the pure elements (eV/f.u.) = 1.9
# - DOS at the Fermi energy (states/eV/cell) = 29.4
data_La3Pr4Tm4
_chemical_formula_sum 'La6 Pr8 Tm8'
_space_group_name_H-M_alt 'A m m 2'
_space_group_IT_number 38
_space_group_name_Hall 'A 2 -2'
_cell_length_a 11.710
_cell_length_b 5.792
_cell_length_c 11.366
_cell_angle_alpha 90.00
_cell_angle_beta 90.00
_cell_angle_gamma 90.00
loop_
_atom_site_label
_atom_site_fract_x
_atom_site_fract_y
_atom_site_fract_z
La1 0.000 0.000 0.000
La2 0.321 0.000 0.135
Pr1 0.000 0.000 0.688
Pr2 0.225 0.000 0.488
Pr3 0.500 0.000 0.708
Tm1 0.000 0.000 0.308
Tm2 0.251 0.000 0.824
Tm3 0.500 0.000 0.393

=====

(3)
# Sc5TlS8 | Alexandria via LeMat-Bulk | PBE | relaxed
# - formation energy without anion corrections (eV per atom) = -1.754
# - volume (Å³/f.u.) = 318
# - calculated density (kg/m³) = 3578
# - crystal system = monoclinic
# - DOS at the Fermi energy (states/eV/cell) = 0.0
data_Sc5TlS8
_chemical_formula_sum 'Sc10 Tl2 S16'
_space_group_name_H-M_alt 'C 1 m 1'
_space_group_IT_number 8
_space_group_name_Hall 'C -2y'
_cell_length_a 19.200
_cell_length_b 3.729
_cell_length_c 9.199
_cell_angle_alpha 90.00
_cell_angle_beta 104.93
_cell_angle_gamma 90.00
loop_
_atom_site_label
_atom_site_fract_x
_atom_site_fract_y
_atom_site_fract_z
Sc1 0.000 0.000 0.000
Sc2 0.049 0.000 0.384
Sc3 0.140 0.500 0.701
Sc4 0.189 0.500 0.085
Sc5 0.344 0.000 0.043
Tl1 0.345 0.500 0.545
S1 0.013 0.500 0.534
S2 0.077 0.500 0.192
S3 0.112 0.000 0.893
S4 0.175 0.000 0.552
S5 0.263 0.000 0.231
S6 0.266 0.500 0.894
S7 0.423 0.500 0.191
S8 0.425 0.000 0.854

=====

(4)
# La4TcP | Alexandria via LeMat-Bulk | PBE | relaxed
# - volume (Å³/f.u.) = 167
# - calculated density (kg/m³) = 6821
# - crystal system = cubic
# - energy of formation from the pure elements (eV/f.u.) = 4.4
# - DOS at the Fermi energy (states/eV/cell) = 36.2
data_La4TcP
_chemical_formula_sum 'La16 Tc4 P4'
_space_group_name_H-M_alt 'F -4 3 m'
_space_group_IT_number 216
_space_group_name_Hall 'F -4 2 3'
_cell_length_a 8.736
_cell_length_b 8.736
_cell_length_c 8.736
_cell_angle_alpha 90.00
_cell_angle_beta 90.00
_cell_angle_gamma 90.00
loop_
_atom_site_label
_atom_site_fract_x
_atom_site_fract_y
_atom_site_fract_z
La1 0.125 0.125 0.125
Tc1 0.000 0.000 0.500
P1 0.250 0.250 0.750

=====

(5)
# Ag4PbAu8 | Alexandria via LeMat-Bulk | PBE | relaxed
# - volume (Å³/f.u.) = 255
# - calculated density (kg/m³) = 14394
# - crystal system = orthorhombic
# - energy of formation from the pure elements (eV/f.u.) = 0.2
# - DOS at the Fermi energy (states/eV/cell) = 5.4
data_Ag4PbAu8
_chemical_formula_sum 'Ag4 Pb1 Au8'
_space_group_name_H-M_alt 'P m m 2'
_space_group_IT_number 25
_space_group_name_Hall 'P 2 -2'
_cell_length_a 2.952
_cell_length_b 4.757
_cell_length_c 18.194
_cell_angle_alpha 90.00
_cell_angle_beta 90.00
_cell_angle_gamma 90.00
loop_
_atom_site_label
_atom_site_fract_x
_atom_site_fract_y
_atom_site_fract_z
Ag1 0.000 0.000 0.000
Ag2 0.000 0.500 0.184
Ag3 0.500 0.000 0.417
Ag4 0.500 0.500 0.614
Pb1 0.000 0.000 0.716
Au1 0.000 0.000 0.277
Au2 0.000 0.000 0.556
Au3 0.000 0.500 0.468
Au4 0.000 0.500 0.899
Au5 0.500 0.000 0.138
Au6 0.500 0.000 0.863
Au7 0.500 0.500 0.044
Au8 0.500 0.500 0.326

=====

(6)
# Nb4OsRu5 | Alexandria via LeMat-Bulk | PBE | relaxed
# - volume (Å³/f.u.) = 157
# - calculated density (kg/m³) = 11256
# - crystal system = monoclinic
# - energy of formation from the pure elements (eV/f.u.) = -2.2
# - DOS at the Fermi energy (states/eV/cell) = 12.7
data_Nb4OsRu5
_chemical_formula_sum 'Nb8 Os2 Ru10'
_space_group_name_H-M_alt 'C 1 2/m 1'
_space_group_IT_number 12
_space_group_name_Hall '-C 2y'
_cell_length_a 14.423
_cell_length_b 4.250
_cell_length_c 5.501
_cell_angle_alpha 90.00
_cell_angle_beta 110.97
_cell_angle_gamma 90.00
loop_
_atom_site_label
_atom_site_fract_x
_atom_site_fract_y
_atom_site_fract_z
Nb1 0.084 0.000 0.342
Nb2 0.196 0.500 0.129
Os1 0.000 0.500 0.000
Ru1 0.000 0.500 0.500
Ru2 0.114 0.000 0.851
Ru3 0.205 0.500 0.624

=====

(7)
# PrTl3B4O12 | Alexandria via LeMat-Bulk | PBE | relaxed
# - formation energy without anion corrections (eV per atom) = -1.897
# - volume (Å³/f.u.) = 255
# - calculated density (kg/m³) = 6441
# - crystal system = trigonal
data_PrTl3B4O12
_chemical_formula_sum 'Pr3 Tl9 B12 O36'
_space_group_name_H-M_alt 'R 3 2'
_space_group_IT_number 155
_space_group_name_Hall 'R 3 2"'
_cell_length_a 10.2104
_cell_length_b 10.2104
_cell_length_c 8.4749
_cell_angle_alpha 90.00
_cell_angle_beta 90.00
_cell_angle_gamma 120.00
loop_
_atom_site_label
_atom_site_fract_x
_atom_site_fract_y
_atom_site_fract_z
Pr1 0.0000 0.0000 0.0000
Tl1 0.0000 0.5330 0.0000
B1 0.0000 0.0000 0.5000
B2 0.0000 0.4617 0.5000
O1 0.0000 0.5970 0.5000
O2 0.0000 0.8649 0.5000
O3 0.0036 0.1972 0.1713

=====

Question: Which of these has the lowest calculated density?
Answer: Sc5TlS8

=====

Question: Which formula does entry 7 have?
Answer: PrTl3B4O12